Entry 1:
Density functional theory data (SCAN) for Ni3Ge at its PBEsol-relaxed geometry.

```
Ni3Ge
1.0
-2.803 1.590 -1.421
-2.086 -2.531 1.283
-0.442 1.863 2.956
Ni Ge
3 1
Cartesian
-1.623 1.726 0.767
-1.264 -0.334 2.119
-2.444 -0.471 -0.069
0.000 0.000 0.000
```

---

Entry 2:
Density functional theory data (SCAN) for Ni2Ge at its PBEsol-relaxed geometry.

```
Ni2Ge
1.0
3.793 0.000 0.000
0.000 5.034 0.000
0.000 0.000 7.171
Ni Ge
8 4
Cartesian
0.948 1.648 0.430
2.845 3.386 6.740
0.948 4.166 3.155
2.845 0.869 4.016
0.948 4.805 5.663
2.845 0.229 1.507
0.948 2.288 5.093
2.845 2.746 2.078
0.948 1.470 2.778
2.845 3.564 4.393
0.948 3.987 0.807
2.845 1.047 6.364
```

---

Entry 3:
Density functional theory data (SCAN) for Ni2Ge at its PBEsol-relaxed geometry.

```
Ni2Ge
1.0
3.969 0.000 0.000
-1.985 3.437 0.000
0.000 0.000 5.008
Ni Ge
4 2
Cartesian
0.000 0.000 0.000
0.000 0.000 2.504
0.000 2.292 1.252
1.985 1.146 3.756
0.000 2.292 3.756
1.985 1.146 1.252
```

---

Ρ / g cm⁻³: 9.455; 9.219; 9.236
Uncorrected energy / eV/atom: -17.19; -17.46; -17.43